# SrIn2CoPb

An optimized crystal structure of SrIn2CoPb (GGA-PBE, the Alexandria database).

Values from the calculation:
space-group type	P4/mmm (123)
formation enthalpy at 0 K	-0.55	eV/f.u.
crystal system	tetragonal
total energy	-0.13611	hartree per atom
D(E_F)	4.2	states/eV per cell
magnetic moment	0.05	μB/f.u.

Cell: 5.049 5.049 5.147 Å, 90.00 90.00 90.00°
Fractional positions:
In1 0.500 0.000 0.000
In2 0.000 0.500 0.000
Pb1 0.000 0.000 0.500
Co1 0.000 0.000 0.000
Sr1 0.500 0.500 0.500